VASP calculation (PBE+U) on crystalline AlCrO2F at its relaxed geometry.

## Properties
- Energy: -30.1 eV for the cell shown
- M_tot: 2.6 μB per cell
- ρ: 3.69 g/cm³

Cell: 3.921 3.921 3.807 Å, 90.00 90.00 90.00°
Fractional positions:
Al 0.000 0.000 0.000
Cr 0.500 0.500 0.500
O 0.000 0.500 0.500
O 0.500 0.000 0.500
F 0.500 0.500 0.000